# Ho2Al3In3 | OQMD via LeMat-Bulk | PBE-GGA | optimized geometry
# - Total energy: -3.887 eV/atom
data_Ho2Al3In3
_space_group_name_H-M_alt 'P -6 m 2'
_space_group_IT_number 187
_space_group_name_Hall 'P -6 2'
_cell_length_a 6.4525
_cell_length_b 6.4525
_cell_length_c 4.8994
_cell_angle_alpha 90.00
_cell_angle_beta 90.00
_cell_angle_gamma 120.00
loop_
_atom_site_label
_atom_site_fract_x
_atom_site_fract_y
_atom_site_fract_z
Ho1 0.0000 0.0000 0.0000
Ho2 0.3333 0.6667 0.5000
Al1 0.3691 0.1846 0.5000
In1 0.5086 0.0173 0.0000